Entry from Alexandria via LeMat-Bulk: a geometry-optimized K2ReIr structure (PBE).

Results
* total DFT energy (no corrections): -73.082 eV/cell
* energy relative to the elements: 1.308 eV per atom
* density of states at the Fermi level: 0.813 states/eV/atom
* total magnetic moment: 12.80 Bohr magnetons per cell
* offset from the most stable computed form: 746.2 meV/atom

a b c (Å): 12.176 12.176 4.693
angles (deg): 90.00 90.00 90.00
Space group I-42d (No. 122)
Unique sites:
K: 0.073 0.750 0.125 (multiplicity 8)
Re: 0.000 0.000 0.500 (multiplicity 4)
Ir: 0.000 0.000 0.000 (multiplicity 4)